1.
VASP calculation (PBE) on a relaxed structure of LiNdLuAg.

a b c (Å): 5.203 5.203 5.203
angles (deg): 60.00 60.00 60.00
Element x y z (fractional)
1 Li 0.000 0.000 0.000
2 Nd 0.750 0.750 0.750
3 Lu 0.250 0.250 0.250
4 Ag 0.500 0.500 0.500

Computed properties:
Total magnetic moment = 0.00 μB per formula unit
Uncorrected energy = -0.13212 hartree per atom
E_form = -82 meV per atom

2.
VASP calculation (PBE) on a relaxed structure of Na6Zn3As4H6O19.

a b c (Å): 12.418 12.418 12.418
angles (deg): 90.00 90.00 90.00
Element x y z (fractional)
1 Na 0.003 0.256 0.574
2 Na 0.006 0.742 0.324
3 Na 0.074 0.497 0.744
4 Na 0.176 0.994 0.242
5 Na 0.242 0.176 0.994
6 Na 0.244 0.426 0.503
7 Na 0.256 0.574 0.003
8 Na 0.258 0.824 0.494
9 Na 0.324 0.006 0.742
10 Na 0.426 0.503 0.244
11 Na 0.494 0.258 0.824
12 Na 0.497 0.744 0.074
13 Na 0.503 0.244 0.426
14 Na 0.506 0.758 0.676
15 Na 0.574 0.003 0.256
16 Na 0.676 0.506 0.758
17 Na 0.742 0.324 0.006
18 Na 0.744 0.074 0.497
19 Na 0.756 0.926 0.997
20 Na 0.758 0.676 0.506
21 Na 0.824 0.494 0.258
22 Na 0.926 0.997 0.756
23 Na 0.994 0.242 0.176
24 Na 0.997 0.756 0.926
25 Zn 0.009 0.753 0.625
26 Zn 0.125 0.491 0.247
27 Zn 0.247 0.125 0.491
28 Zn 0.253 0.875 0.991
29 Zn 0.375 0.509 0.747
30 Zn 0.491 0.247 0.125
31 Zn 0.509 0.747 0.375
32 Zn 0.625 0.009 0.753
33 Zn 0.747 0.375 0.509
34 Zn 0.753 0.625 0.009
35 Zn 0.875 0.991 0.253
36 Zn 0.991 0.253 0.875
37 As 0.017 0.983 0.483
38 As 0.032 0.032 0.032
39 As 0.220 0.280 0.720
40 As 0.231 0.731 0.769
41 As 0.269 0.269 0.269
42 As 0.280 0.720 0.220
43 As 0.468 0.968 0.532
44 As 0.483 0.017 0.983
45 As 0.517 0.517 0.517
46 As 0.532 0.468 0.968
47 As 0.720 0.220 0.280
48 As 0.731 0.769 0.231
49 As 0.769 0.231 0.731
50 As 0.780 0.780 0.780
51 As 0.968 0.532 0.468
52 As 0.983 0.483 0.017
53 H 0.048 0.178 0.382
54 H 0.074 0.300 0.368
55 H 0.118 0.952 0.678
56 H 0.132 0.926 0.800
57 H 0.178 0.382 0.048
58 H 0.200 0.632 0.574
59 H 0.300 0.368 0.074
60 H 0.322 0.618 0.548
61 H 0.368 0.074 0.300
62 H 0.382 0.048 0.178
63 H 0.426 0.700 0.868
64 H 0.452 0.822 0.882
65 H 0.548 0.322 0.618
66 H 0.574 0.200 0.632
67 H 0.618 0.548 0.322
68 H 0.632 0.574 0.200
69 H 0.678 0.118 0.952
70 H 0.700 0.868 0.426
71 H 0.800 0.132 0.926
72 H 0.822 0.882 0.452
73 H 0.868 0.426 0.700
74 H 0.882 0.452 0.822
75 H 0.926 0.800 0.132
76 H 0.952 0.678 0.118
77 O 0.007 0.544 0.334
78 O 0.012 0.249 0.376
79 O 0.044 0.166 0.993
80 O 0.046 0.454 0.546
81 O 0.057 0.419 0.118
82 O 0.062 0.562 0.938
83 O 0.081 0.882 0.557
84 O 0.090 0.305 0.767
85 O 0.118 0.057 0.419
86 O 0.124 0.988 0.749
87 O 0.128 0.671 0.695
88 O 0.166 0.993 0.044
89 O 0.171 0.805 0.872
90 O 0.190 0.190 0.190
91 O 0.195 0.233 0.590
92 O 0.195 0.372 0.329
93 O 0.201 0.799 0.299
94 O 0.233 0.590 0.195
95 O 0.249 0.376 0.012
96 O 0.251 0.624 0.512
97 O 0.267 0.410 0.695
98 O 0.299 0.201 0.799
99 O 0.305 0.628 0.829
100 O 0.305 0.767 0.090
101 O 0.310 0.810 0.690
102 O 0.329 0.195 0.372
103 O 0.334 0.007 0.544
104 O 0.372 0.329 0.195
105 O 0.376 0.012 0.249
106 O 0.382 0.943 0.919
107 O 0.410 0.695 0.267
108 O 0.419 0.118 0.057
109 O 0.438 0.438 0.438
110 O 0.443 0.581 0.618
111 O 0.454 0.546 0.046
112 O 0.456 0.834 0.493
113 O 0.488 0.751 0.876
114 O 0.493 0.456 0.834
115 O 0.507 0.956 0.666
116 O 0.512 0.251 0.624
117 O 0.544 0.334 0.007
118 O 0.546 0.046 0.454
119 O 0.557 0.081 0.882
120 O 0.562 0.938 0.062
121 O 0.581 0.618 0.443
122 O 0.590 0.195 0.233
123 O 0.618 0.443 0.581
124 O 0.624 0.512 0.251
125 O 0.628 0.829 0.305
126 O 0.666 0.507 0.956
127 O 0.671 0.695 0.128
128 O 0.690 0.310 0.810
129 O 0.695 0.128 0.671
130 O 0.695 0.267 0.410
131 O 0.701 0.701 0.701
132 O 0.733 0.910 0.805
133 O 0.749 0.124 0.988
134 O 0.751 0.876 0.488
135 O 0.767 0.090 0.305
136 O 0.799 0.299 0.201
137 O 0.805 0.733 0.910
138 O 0.805 0.872 0.171
139 O 0.810 0.690 0.310
140 O 0.829 0.305 0.628
141 O 0.834 0.493 0.456
142 O 0.872 0.171 0.805
143 O 0.876 0.488 0.751
144 O 0.882 0.557 0.081
145 O 0.910 0.805 0.733
146 O 0.919 0.382 0.943
147 O 0.938 0.062 0.562
148 O 0.943 0.919 0.382
149 O 0.954 0.954 0.954
150 O 0.956 0.666 0.507
151 O 0.988 0.749 0.124
152 O 0.993 0.044 0.166

Computed properties:
Total magnetic moment = 0.00 μB per formula unit
Uncorrected energy = -0.19351 hartree per atom

- uncorrected energy of number 1 (LiNdLuAg)?
  -0.13212 hartree per atom

- Look up the uncorrected energy of the first one.
  -0.13212 hartree per atom